{
  "formula": "Dy2Cu4Si3Ge",
  "functional": "PBE",
  "state": "optimized geometry",
  "sg": "P-4m2 (115)",
  "final_energy_ev_per_atom": -5.16,
  "lattice": [[4.026, 0.000, 0.000], [0.000, 4.026, 0.000], [0.000, 0.000, 9.976]],
  "species": ["Dy", "Dy", "Cu", "Cu", "Cu", "Cu", "Si", "Si", "Si", "Ge"],
  "frac_coords": [[0.000, 0.500, 0.244], [0.500, 0.000, 0.756], [0.000, 0.000, 0.000], [0.000, 0.500, 0.638], [0.500, 0.000, 0.362], [0.500, 0.500, 0.000], [0.000, 0.500, 0.870], [0.500, 0.000, 0.130], [0.500, 0.500, 0.500], [0.000, 0.000, 0.500]]
}

---

{
  "formula": "LaBe",
  "functional": "PBE",
  "state": "optimized geometry",
  "sg": "Pm-3n (223)",
  "delta_e_f_ev_per_atom": 1.237,
  "polymorph_energy_mev_per_atom": 1197,
  "lattice": [[7.964, 0.000, 0.000], [0.000, 7.964, 0.000], [0.000, 0.000, 7.964]],
  "species": ["La", "La", "La", "La", "La", "La", "Be", "Be", "Be", "Be", "Be", "Be"],
  "frac_coords": [[0.000, 0.250, 0.500], [0.000, 0.750, 0.500], [0.250, 0.500, 0.000], [0.500, 0.000, 0.250], [0.500, 0.000, 0.750], [0.750, 0.500, 0.000], [0.000, 0.500, 0.250], [0.000, 0.500, 0.750], [0.250, 0.000, 0.500], [0.500, 0.250, 0.000], [0.500, 0.750, 0.000], [0.750, 0.000, 0.500]]
}

---

{
  "formula": "Tb8HoTh4",
  "functional": "PBE",
  "state": "optimized geometry",
  "sg": "R-3m (166)",
  "delta_e_f_ev_per_atom": 0.221,
  "lattice": [[3.697, 2.134, 8.937], [-3.697, 2.134, 8.937], [0.000, -4.269, 8.937]],
  "species": ["Tb", "Tb", "Tb", "Tb", "Tb", "Tb", "Tb", "Tb", "Ho", "Th", "Th", "Th", "Th"],
  "frac_coords": [[0.192, 0.751, 0.751], [0.220, 0.220, 0.220], [0.249, 0.249, 0.808], [0.249, 0.808, 0.249], [0.751, 0.192, 0.751], [0.751, 0.751, 0.192], [0.780, 0.780, 0.780], [0.808, 0.249, 0.249], [0.500, 0.500, 0.500], [0.000, 0.000, 0.000], [0.000, 0.500, 0.500], [0.500, 0.000, 0.500], [0.500, 0.500, 0.000]]
}

---

Calculated magnetic moment (Bohr magnetons per cell), listed in the same order as above: 0.0 0.0 0.0